(1)
This record from Alexandria via LeMat-Bulk describes a crystal of Rb2CdHg2 relaxed with PBEsol. The functional is meta-GGA SCAN.

Geometry as POSCAR:
```
Rb2CdHg2
1.0
6.9009 0.0000 0.0000
0.0000 6.9009 0.0000
0.0000 0.0000 8.4096
Rb Cd Hg
4 2 4
direct
0.0000 0.5000 0.2500
0.0000 0.5000 0.7500
0.5000 0.0000 0.2500
0.5000 0.0000 0.7500
0.0000 0.0000 0.0000
0.5000 0.5000 0.5000
0.0000 0.0000 0.3347
0.0000 0.0000 0.6653
0.5000 0.5000 0.1653
0.5000 0.5000 0.8347
```

Calculated values
The volume comes out at 40.05 Å³ per atom. The formation energy comes out at -146 meV per atom. The energy relative to the lowest polymorph listed for this composition comes out at 62.1 meV/atom.

(2)
This record from Alexandria via LeMat-Bulk describes a crystal of KZrW relaxed with PBEsol. The functional is meta-GGA SCAN.

Geometry as POSCAR:
```
KZrW
1.0
6.5927 0.0000 0.0000
0.0000 6.5927 0.0000
0.0000 0.0000 6.5927
K Zr W
4 4 4
direct
0.0000 0.0000 0.0000
0.0000 0.5000 0.5000
0.5000 0.0000 0.5000
0.5000 0.5000 0.0000
0.2500 0.2500 0.2500
0.2500 0.7500 0.7500
0.7500 0.2500 0.7500
0.7500 0.7500 0.2500
0.2500 0.2500 0.7500
0.2500 0.7500 0.2500
0.7500 0.2500 0.2500
0.7500 0.7500 0.7500
```

Calculated values
The volume comes out at 23.88 Å³ per atom. The formation energy comes out at 2948 meV per atom.

(3)
This record from Alexandria via LeMat-Bulk describes a crystal of InRe2Pb relaxed with PBEsol. The functional is meta-GGA SCAN.

Geometry as POSCAR:
```
InRe2Pb
1.0
6.6398 0.0000 0.0000
0.0000 6.6398 0.0000
0.0000 0.0000 6.6398
In Re Pb
4 8 4
direct
0.0000 0.0000 0.0000
0.0000 0.5000 0.5000
0.5000 0.0000 0.5000
0.5000 0.5000 0.0000
0.0000 0.0000 0.5000
0.0000 0.5000 0.0000
0.2500 0.2500 0.2500
0.2500 0.7500 0.7500
0.5000 0.0000 0.0000
0.5000 0.5000 0.5000
0.7500 0.2500 0.7500
0.7500 0.7500 0.2500
0.2500 0.2500 0.7500
0.2500 0.7500 0.2500
0.7500 0.2500 0.2500
0.7500 0.7500 0.7500
```

Calculated values
The volume comes out at 18.30 Å³ per atom. The formation energy comes out at 1162 meV per atom. The energy relative to the lowest polymorph listed for this composition comes out at 38.3 meV/atom.

(4)
This record from Alexandria via LeMat-Bulk describes a crystal of Y2ZnRu relaxed with PBEsol. The functional is meta-GGA SCAN.

Geometry as POSCAR:
```
Y2ZnRu
1.0
3.3964 0.0000 0.0000
0.0000 4.4651 0.0000
0.0000 0.0000 5.6799
Y Zn Ru
2 1 1
direct
0.0000 0.0000 0.0000
0.5000 0.5000 0.3864
0.0000 0.0000 0.5191
0.5000 0.5000 0.8989
```

Calculated values
The volume comes out at 21.53 Å³ per atom. The formation energy comes out at -79 meV per atom.

(5)
This record from Alexandria via LeMat-Bulk describes a crystal of MgSc relaxed with PBEsol. The functional is meta-GGA SCAN.

Geometry as POSCAR:
```
MgSc
1.0
3.1218 0.0000 0.0000
0.0000 4.9232 0.0000
-1.2745 0.0000 6.0053
Mg Sc
2 2
direct
0.0418 0.2500 0.1337
0.9582 0.7500 0.8663
0.3304 0.2500 0.6402
0.6696 0.7500 0.3598
```

Calculated values
The volume comes out at 23.07 Å³ per atom. The formation energy comes out at 10 meV per atom.

(6)
This record from Alexandria via LeMat-Bulk describes a crystal of KZn2Ga2 relaxed with PBEsol. The functional is meta-GGA SCAN.

Geometry as POSCAR:
```
KZn2Ga2
1.0
4.3757 0.0000 0.0000
0.0000 4.3757 0.0000
0.0000 0.0000 10.7082
K Zn Ga
2 4 4
direct
0.0000 0.0000 0.0000
0.5000 0.5000 0.5000
0.0000 0.5000 0.2500
0.0000 0.5000 0.7500
0.5000 0.0000 0.2500
0.5000 0.0000 0.7500
0.0000 0.0000 0.3777
0.0000 0.0000 0.6223
0.5000 0.5000 0.1223
0.5000 0.5000 0.8777
```

Calculated values
The volume comes out at 20.50 Å³ per atom. The formation energy comes out at -89 meV per atom.

Q: Which formula does entry 2 have?
A: KZrW

Q: What is the formula in the fifth record?
A: MgSc